Entry 1:
TlGeRuRh2 | Alexandria via LeMat-Bulk | GGA-PBEsol | relaxed; final energy = -4.79 eV/atom
1.0
4.8361 0.0000 0.0000
0.0000 4.8361 0.0000
0.0000 0.0000 4.8981
Ru Tl Rh Ge
1 1 2 1
Direct
0.0000 0.0000 0.5000
0.0000 0.0000 0.0000
0.0000 0.5000 0.0000
0.5000 0.0000 0.0000
0.5000 0.5000 0.5000

---

Entry 2:
SrLi3Pt | Alexandria via LeMat-Bulk | GGA-PBEsol | relaxed; final energy = -3.12 eV/atom
1.0
4.8379 0.0000 0.0000
0.0000 4.8379 0.0000
0.0000 0.0000 4.8379
Sr Pt Li
1 1 3
Direct
0.5000 0.5000 0.5000
0.0000 0.0000 0.0000
0.0000 0.5000 0.0000
0.0000 0.0000 0.5000
0.5000 0.0000 0.0000

---

Entry 3:
KCd4Ga5S12 | Alexandria via LeMat-Bulk | GGA-PBEsol | relaxed; formation energy from raw total energies = -744 meV per atom
1.0
8.4190 0.0136 -0.0164
-2.6569 8.0264 0.0012
-2.4656 -3.7514 7.4994
K Cd Ga S
1 4 5 12
Direct
0.0001 0.0070 0.0117
0.4952 0.3400 0.9351
0.6258 0.7041 0.4026
0.4069 0.6494 0.7210
0.7160 0.4046 0.6384
0.1837 0.5491 0.0249
0.0211 0.1816 0.5528
0.5591 0.0222 0.1902
0.9394 0.4710 0.3328
0.3200 0.9321 0.4679
0.8814 0.6353 0.5473
0.5476 0.8915 0.6307
0.6648 0.5966 0.8808
0.3505 0.4244 0.1452
0.1490 0.3696 0.4405
0.4300 0.1421 0.3648
0.0661 0.6740 0.2220
0.2121 0.0636 0.6623
0.7018 0.2138 0.0835
0.7787 0.9345 0.2984
0.2933 0.7834 0.9500
0.9386 0.2913 0.7784

---

Entry 4:
Zr6Ga2Co | Alexandria via LeMat-Bulk | GGA-PBEsol | relaxed; final energy = -8.10 eV/atom
1.0
3.3084 0.0000 0.0000
0.0000 7.7325 0.0000
0.0000 -3.8662 6.6965
Zr Ga Co
6 2 1
Direct
0.0000 0.7494 0.7494
0.0000 0.2506 0.0000
0.0000 0.0000 0.2506
0.5000 0.0000 0.5954
0.5000 0.5954 0.0000
0.5000 0.4046 0.4046
0.0000 0.6667 0.3333
0.0000 0.3333 0.6667
0.5000 0.0000 0.0000

---

Entry 5:
LiInCu | Alexandria via LeMat-Bulk | GGA-PBEsol | relaxed; final energy = -3.23 eV/atom
1.0
3.2480 0.0000 0.0000
0.0000 3.2583 0.0000
-1.6240 -1.6291 4.3173
In Cu Li
1 1 1
Direct
0.6646 0.6646 0.3292
0.9896 0.9896 0.9792
0.3458 0.3458 0.6916

---

Entry 6:
FeNiSn3 | Alexandria via LeMat-Bulk | GGA-PBEsol | relaxed; final energy = -4.96 eV/atom
1.0
4.8428 0.0000 0.0000
0.0000 4.8428 0.0000
0.0000 0.0000 4.8428
Ni Sn Fe
1 3 1
Direct
0.0000 0.0000 0.0000
0.0000 0.5000 0.0000
0.0000 0.0000 0.5000
0.5000 0.0000 0.0000
0.5000 0.5000 0.5000

---

Entry 7:
NaP3PbO9 | Alexandria via LeMat-Bulk | GGA-PBEsol | relaxed; formation energy from raw total energies = -2104 meV per atom
1.0
-1.4313 3.6751 4.0783
-6.8289 -7.3647 4.2400
8.9549 -4.2758 6.9957
Na P Pb O
4 12 4 36
Direct
0.3970 0.4668 0.3651
0.1030 0.5332 0.8651
0.6030 0.9668 0.1349
0.8970 0.0332 0.6349
0.0928 0.7900 0.1822
0.4072 0.2100 0.6822
0.9072 0.2900 0.3178
0.5928 0.7100 0.8178
0.1099 0.4107 0.1279
0.3901 0.5893 0.6279
0.8901 0.9107 0.3721
0.6099 0.0893 0.8721
0.1074 0.1436 0.1446
0.3926 0.8564 0.6446
0.8926 0.6436 0.3554
0.6074 0.3564 0.8554
0.3977 0.1058 0.4139
0.1023 0.8942 0.9139
0.6023 0.6058 0.0861
0.8977 0.3942 0.5861
0.0801 0.8980 0.2726
0.4199 0.1020 0.7726
0.9199 0.3980 0.2274
0.5801 0.6020 0.7274
0.1744 0.2029 0.6247
0.3256 0.7971 0.1247
0.8256 0.7029 0.8753
0.6744 0.2971 0.3753
0.5043 0.5049 0.5463
0.9957 0.4951 0.0463
0.4957 0.0049 0.9537
0.0043 0.9951 0.4537
0.1258 0.2921 0.3885
0.3743 0.7079 0.8885
0.8742 0.7921 0.1115
0.6258 0.2079 0.6115
0.1129 0.2734 0.0792
0.3871 0.7266 0.5792
0.8871 0.7734 0.4208
0.6129 0.2266 0.9208
0.9991 0.0507 0.0699
0.5009 0.9493 0.5699
0.0009 0.5507 0.4301
0.4991 0.4493 0.9301
0.3382 0.1203 0.2011
0.1618 0.8797 0.7011
0.6618 0.6203 0.2989
0.8382 0.3797 0.7989
0.0912 0.6711 0.2609
0.4088 0.3289 0.7609
0.9088 0.1711 0.2391
0.5912 0.8289 0.7391
0.3458 0.4446 0.1745
0.1542 0.5554 0.6745
0.6542 0.9446 0.3255
0.8458 0.0554 0.8255

---

Entry 8:
LiRe2Mo | Alexandria via LeMat-Bulk | GGA-PBEsol | relaxed; final energy = -9.84 eV/atom
1.0
4.2921 0.0000 0.0000
2.1460 3.7171 0.0000
2.1460 1.2390 3.5045
Li Mo Re
1 1 2
Direct
0.5000 0.5000 0.5000
0.2500 0.2500 0.2500
0.0000 0.0000 0.0000
0.7500 0.7500 0.7500

---

Entry 9:
Fe2AgRu | Alexandria via LeMat-Bulk | GGA-PBEsol | relaxed; final energy = -7.43 eV/atom
1.0
-1.0732 -2.4658 -0.7463
3.3001 -0.6063 -2.7422
1.1532 -0.4060 4.9015
Ag Fe Ru
1 2 1
Direct
0.2595 0.7595 0.5190
0.0197 0.0197 0.0393
0.7397 0.2397 0.4794
0.4811 0.4811 0.9622

---

Entry 10:
Mg3Al12FeSi4B4O36 | Alexandria via LeMat-Bulk | GGA-PBEsol | relaxed; formation energy from raw total energies = -2846 meV per atom
1.0
-3.8489 2.7963 -3.2857
-6.8957 -0.4065 7.7319
3.7290 9.6340 3.8309
Mg Al Fe Si B O
3 12 1 4 4 36
Direct
0.5000 0.0925 0.2186
0.0000 0.5931 0.2811
0.0000 0.9073 0.7812
0.7496 0.4999 0.4988
0.2500 0.0000 0.0001
0.2504 0.4999 0.4988
0.7500 0.0000 0.0001
0.5000 0.2744 0.9486
0.5000 0.2256 0.4477
0.0000 0.7263 0.0522
0.0000 0.7741 0.5517
0.7501 0.0001 0.5000
0.2498 0.5001 0.0011
0.2499 0.0001 0.5000
0.7502 0.5001 0.0011
0.5000 0.4062 0.7192
0.5000 0.0655 0.7635
0.5000 0.4333 0.2637
0.0000 0.9336 0.2365
0.0000 0.5667 0.7371
0.0000 0.2490 0.5004
0.0000 0.2511 0.0007
0.5000 0.7512 0.4995
0.5000 0.7490 0.0000
0.0000 0.9531 0.6005
0.0000 0.5471 0.1007
0.5000 0.0467 0.3995
0.5000 0.4538 0.9019
0.7954 0.3195 0.0017
0.2047 0.1806 0.5009
0.2952 0.6807 0.9994
0.7048 0.8195 0.4990
0.7048 0.6807 0.9994
0.2952 0.8195 0.4990
0.2046 0.3195 0.0017
0.7953 0.1806 0.5009
0.5000 0.2241 0.7897
0.5000 0.2743 0.2875
0.0000 0.7748 0.2120
0.0000 0.7251 0.7118
0.5000 0.3823 0.5184
0.5000 0.1186 0.0229
0.0000 0.6187 0.4772
0.0000 0.8814 0.9774
0.5000 0.0263 0.6193
0.5000 0.4738 0.1198
0.0000 0.9735 0.3807
0.0000 0.5263 0.8808
0.0000 0.3793 0.4966
0.0000 0.1208 0.9966
0.5000 0.6210 0.5029
0.5000 0.8792 0.0034
0.7717 0.5077 0.6698
0.2283 0.9927 0.1707
0.2711 0.4930 0.3285
0.7283 0.0066 0.8294
0.7289 0.4930 0.3285
0.2717 0.0066 0.8294
0.2283 0.5077 0.6698
0.7717 0.9927 0.1707

---

no.,magnetization (μB per atom)
1,0.34
2,0.00
3,0.00
4,0.00
5,0.00
6,0.62
7,0.00
8,0.00
9,1.37
10,0.07